[1]
This record from the Alexandria database describes NiHgTe3 after structural relaxation. The functional is PBE.

Geometry as POSCAR:
```
NiHgTe3
1.0
5.103 0.000 0.000
0.000 5.103 0.000
0.000 0.000 5.103
Ni Hg Te
1 1 3
Cartesian
0.000 0.000 0.000
2.551 2.551 2.551
0.000 0.000 2.551
0.000 2.551 0.000
2.551 0.000 0.000
```

As for the energy relative to the elements, uncorrected: 0.308 eV/atom.

[2]
This record from the Alexandria database describes TlNiHg2Te after structural relaxation. The functional is PBE.

Geometry as POSCAR:
```
TlNiHg2Te
1.0
5.134 0.000 0.000
0.000 5.134 0.000
0.000 0.000 5.173
Tl Ni Hg Te
1 1 2 1
Cartesian
0.000 0.000 0.000
2.567 2.567 2.587
0.000 2.567 2.587
2.567 0.000 2.587
2.567 2.567 0.000
```

As for the energy relative to the elements, uncorrected: -0.009 eV/atom.

Repeat the first record exactly.
This record from the Alexandria database describes NiHgTe3 after structural relaxation. The functional is PBE.

Geometry as POSCAR:
```
NiHgTe3
1.0
5.103 0.000 0.000
0.000 5.103 0.000
0.000 0.000 5.103
Ni Hg Te
1 1 3
Cartesian
0.000 0.000 0.000
2.551 2.551 2.551
0.000 0.000 2.551
0.000 2.551 0.000
2.551 0.000 0.000
```

As for the energy relative to the elements, uncorrected: 0.308 eV/atom.

energy relative to the elements, uncorrected of number 1 (NiHgTe3)?
0.308 eV/atom